# 1
The following is a DFT calculation (PBE-GGA) of Ac2PuMnSe6 after structural relaxation.

Computed properties:
V   29.0 Å³ per atom
VASP energy   -0.24595 hartree per atom
Raw formation energy   -1.43 eV per atom

Lattice parameters (Å, degrees): 7.549 7.548 7.321 58.96 58.96 60.00
Each line ends with the local moment (μB).
Fractional coordinates of all 10 atoms:
Se  0.547  0.171  0.301  -0.05
Ac  0.098  0.098  0.706  0.01
Se  0.462  0.652  0.802  -0.05
Mn  0.316  0.316  0.051  3.97
Pu  0.816  0.816  0.552  4.94
Se  0.171  0.981  0.301  -0.05
Se  0.981  0.547  0.301  -0.05
Se  0.652  0.085  0.802  -0.05
Ac  0.534  0.534  0.397  0.01
Se  0.085  0.462  0.802  -0.05

=====

# 2
The following is a DFT calculation (PBE-GGA) of Nd4TeIr2 after structural relaxation.

Computed properties:
Relative energy among the computed polymorphs   0.00 kJ per mole of atoms
V   30.6 Å³ per atom
VASP energy   -0.23905 hartree per atom
Raw formation energy   -0.80 eV per atom

Lattice parameters (Å, degrees): 4.246 4.246 13.939 81.24 81.24 60.00
Fractional coordinates of all 7 atoms:
Ir  0.575  0.575  0.276
Nd  0.719  0.719  0.842
Nd  0.874  0.874  0.378
Nd  0.281  0.281  0.158
Te  0.000  0.000  0.000
Nd  0.126  0.126  0.622
Ir  0.425  0.425  0.724

=====

# 3
The following is a DFT calculation (PBE-GGA) of Ho8Hg2Ir3 after structural relaxation.

Computed properties:
Energy relative to the elements   -0.547 eV/atom
V   26.4 Å³ per atom
VASP energy   -0.20049 hartree per atom

Lattice parameters (Å, degrees): 4.903 9.849 8.637 124.70 90.00 90.00
Fractional coordinates of all 13 atoms:
Hg  0.500  0.257  0.513
Ho  0.000  0.884  0.768
Ho  0.500  0.362  0.230
Hg  0.500  0.743  0.487
Ir  0.500  0.000  0.000
Ho  0.500  0.131  0.769
Ho  0.500  0.638  0.770
Ho  0.500  0.869  0.231
Ho  0.000  0.614  0.228
Ir  0.000  0.746  0.000
Ir  0.000  0.254  0.000
Ho  0.000  0.116  0.232
Ho  0.000  0.386  0.772

=====

# 4
The following is a DFT calculation (PBE-GGA) of Zn2GePd6 after structural relaxation.

Computed properties:
Energy relative to the elements   -0.338 eV/atom
V   16.8 Å³ per atom
VASP energy   -0.16889 hartree per atom

Lattice parameters (Å, degrees): 4.134 5.857 7.205 113.98 106.82 90.00
Fractional coordinates of all 9 atoms:
Pd  0.500  0.246  0.000
Pd  0.164  0.917  0.328
Pd  0.164  0.411  0.328
Zn  0.332  0.332  0.665
Pd  0.836  0.589  0.672
Pd  0.836  0.083  0.672
Pd  0.500  0.754  0.000
Zn  0.668  0.668  0.335
Ge  0.000  0.000  0.000

=====

# 5
The following is a DFT calculation (PBE-GGA) of MnPRh2 after structural relaxation.

Computed properties:
Energy relative to the elements   -0.257 eV/atom
V   13.5 Å³ per atom
VASP energy   -0.27846 hartree per atom

Lattice parameters (Å, degrees): 3.956 3.956 3.445 90.00 90.00 90.00
Each line ends with the local moment (μB).
Fractional coordinates of all 4 atoms:
Mn  0.500  0.500  0.500  3.55
Rh  0.500  0.000  0.000  0.20
P  0.000  0.000  0.500  -0.07
Rh  0.000  0.500  0.000  0.20

=====

# 6
The following is a DFT calculation (PBE-GGA) of Nd2ScCu3Ni12 after structural relaxation.

Computed properties:
Energy relative to the elements   0.006 eV/atom
V   14.0 Å³ per atom
VASP energy   -0.19889 hartree per atom

Lattice parameters (Å, degrees): 6.358 6.358 6.358 83.11 83.11 83.11
Fractional coordinates of all 18 atoms:
Cu  0.500  0.000  0.000
Ni  0.285  0.800  0.800
Ni  0.800  0.285  0.800
Cu  0.000  0.000  0.500
Ni  0.409  0.860  0.409
Ni  0.800  0.800  0.285
Ni  0.591  0.591  0.140
Ni  0.140  0.591  0.591
Ni  0.200  0.200  0.715
Ni  0.200  0.715  0.200
Nd  0.295  0.295  0.295
Sc  0.000  0.000  0.000
Ni  0.591  0.140  0.591
Ni  0.715  0.200  0.200
Cu  0.000  0.500  0.000
Ni  0.860  0.409  0.409
Ni  0.409  0.409  0.860
Nd  0.705  0.705  0.705

=====

# 7
The following is a DFT calculation (PBE-GGA) of Pm3Y5Th3 after structural relaxation.

Computed properties:
Energy relative to the elements   0.366 eV/atom
V   34.2 Å³ per atom
VASP energy   -0.21650 hartree per atom

Lattice parameters (Å, degrees): 3.461 11.203 11.203 120.00 90.00 90.00
Fractional coordinates of all 11 atoms:
Y  0.500  0.343  0.000
Pm  0.500  0.162  0.162
Th  0.000  0.399  0.399
Th  0.000  0.601  0.000
Y  0.500  0.000  0.343
Pm  0.500  0.838  0.000
Y  0.500  0.657  0.657
Y  0.500  0.333  0.667
Th  0.000  0.000  0.601
Pm  0.500  0.000  0.838
Y  0.500  0.667  0.333

=====

# 8
The following is a DFT calculation (PBE-GGA) of BeTl2Te after structural relaxation.

Computed properties:
Relative energy among the computed polymorphs   46.32 kJ per mole of atoms
V   27.6 Å³ per atom
VASP energy   -0.08836 hartree per atom
Raw formation energy   0.50 eV per atom

Lattice parameters (Å, degrees): 6.163 6.163 3.178 89.92 89.92 113.82
Fractional coordinates of all 4 atoms:
Tl  0.000  0.000  0.000
Tl  0.500  0.500  0.000
Te  0.000  0.500  0.500
Be  0.500  0.000  0.500